RuAu2 | PBE | optimized geometry

Computed properties:
DOS at the Fermi energy: 2.6 states/eV/f.u.
ΔE_f: 0.36 eV per atom

The structure in CIF format:
```
data_RuAu2
_chemical_formula_sum 'Ru2 Au4'
_symmetry_space_group_name_H-M 'I 4/m m m'
_symmetry_Int_Tables_number 139
_symmetry_space_group_name_Hall '-I 4 2'
_cell_length_a 2.821
_cell_length_b 2.821
_cell_length_c 12.674
_cell_angle_alpha 90.00
_cell_angle_beta 90.00
_cell_angle_gamma 90.00
loop_
_atom_site_label
_atom_site_fract_x
_atom_site_fract_y
_atom_site_fract_z
Ru1 0.000 0.000 0.000
Au1 0.000 0.000 0.339
```



RuAu | PBE | optimized geometry

Computed properties:
DOS at the Fermi energy: 1.4 states/eV/f.u.
ΔE_f: 0.18 eV per atom

The structure in CIF format:
```
data_RuAu
_chemical_formula_sum 'Ru2 Au2'
_symmetry_space_group_name_H-M 'P -3 m 1'
_symmetry_Int_Tables_number 164
_symmetry_space_group_name_Hall '-P 3 2"'
_cell_length_a 2.8036
_cell_length_b 2.8036
_cell_length_c 9.4589
_cell_angle_alpha 90.00
_cell_angle_beta 90.00
_cell_angle_gamma 120.00
loop_
_atom_site_label
_atom_site_fract_x
_atom_site_fract_y
_atom_site_fract_z
Ru1 0.3333 0.6667 0.3949
Au1 0.3333 0.6667 0.8613
```



RuAu | PBE | optimized geometry

Computed properties:
DOS at the Fermi energy: 2.6 states/eV/f.u.
ΔE_f: 0.85 eV per atom

The structure in CIF format:
```
data_RuAu
_chemical_formula_sum 'Ru2 Au2'
_symmetry_space_group_name_H-M 'P 63/m m c'
_symmetry_Int_Tables_number 194
_symmetry_space_group_name_Hall '-P 6c 2c'
_cell_length_a 4.2452
_cell_length_b 4.2452
_cell_length_c 4.8201
_cell_angle_alpha 90.00
_cell_angle_beta 90.00
_cell_angle_gamma 120.00
loop_
_atom_site_label
_atom_site_fract_x
_atom_site_fract_y
_atom_site_fract_z
Ru1 0.0000 0.0000 0.0000
Au1 0.3333 0.6667 0.2500
```